A PBEsol-optimized structure of SiPt2N. Source: Alexandria via LeMat-Bulk, functional meta-GGA SCAN.

```
data_SiPt2N
_symmetry_space_group_name_H-M 'F m -3 m'
_symmetry_Int_Tables_number 225
_symmetry_space_group_name_Hall '-F 4 2 3'
_cell_length_a 5.8192
_cell_length_b 5.8192
_cell_length_c 5.8192
_cell_angle_alpha 90.00
_cell_angle_beta 90.00
_cell_angle_gamma 90.00
loop_
_atom_site_label
_atom_site_type_symbol
_atom_site_fract_x
_atom_site_fract_y
_atom_site_fract_z
Si1 Si 0.0000 0.0000 0.0000
Pt1 Pt 0.2500 0.2500 0.2500
N1 N 0.0000 0.0000 0.5000
```

Output
formation energy (no corrections): 0.613 eV per atom
crystal system: cubic

A PBEsol-optimized structure of Sc3CdIn. Source: Alexandria via LeMat-Bulk, functional meta-GGA SCAN.

```
data_Sc3CdIn
_symmetry_space_group_name_H-M 'P m -3 m'
_symmetry_Int_Tables_number 221
_symmetry_space_group_name_Hall '-P 4 2 3'
_cell_length_a 5.1770
_cell_length_b 5.1770
_cell_length_c 5.1770
_cell_angle_alpha 90.00
_cell_angle_beta 90.00
_cell_angle_gamma 90.00
loop_
_atom_site_label
_atom_site_type_symbol
_atom_site_fract_x
_atom_site_fract_y
_atom_site_fract_z
Sc1 Sc 0.0000 0.0000 0.5000
Cd1 Cd 0.0000 0.0000 0.0000
In1 In 0.5000 0.5000 0.5000
```

Output
energy of formation: 242 meV per atom
crystal system: cubic

A PBEsol-optimized structure of ZnSbMo2. Source: Alexandria via LeMat-Bulk, functional meta-GGA SCAN.

```
data_ZnSbMo2
_symmetry_space_group_name_H-M 'I m m m'
_symmetry_Int_Tables_number 71
_symmetry_space_group_name_Hall '-I 2 2'
_cell_length_a 3.3204
_cell_length_b 4.5690
_cell_length_c 8.5710
_cell_angle_alpha 90.00
_cell_angle_beta 90.00
_cell_angle_gamma 90.00
loop_
_atom_site_label
_atom_site_type_symbol
_atom_site_fract_x
_atom_site_fract_y
_atom_site_fract_z
Zn1 Zn 0.0000 0.0000 0.0000
Sb1 Sb 0.0000 0.0000 0.5000
Mo1 Mo 0.0000 0.5000 0.2547
```

Output
formation energy (no corrections): 0.343 eV per atom
energy above the most stable polymorph in this dataset: 0.05 eV/f.u.
crystal system: orthorhombic

A PBEsol-optimized structure of Sn5S4Cl2. Source: Alexandria via LeMat-Bulk, functional meta-GGA SCAN.

```
data_Sn5S4Cl2
_symmetry_space_group_name_H-M 'P m a 2'
_symmetry_Int_Tables_number 28
_symmetry_space_group_name_Hall 'P 2 -2a'
_cell_length_a 16.6113
_cell_length_b 5.7515
_cell_length_c 5.7596
_cell_angle_alpha 90.00
_cell_angle_beta 90.00
_cell_angle_gamma 90.00
loop_
_atom_site_label
_atom_site_type_symbol
_atom_site_fract_x
_atom_site_fract_y
_atom_site_fract_z
Sn1 Sn 0.0824 0.2382 0.0000
Sn2 Sn 0.0879 0.7395 0.5027
Sn3 Sn 0.2500 0.6560 0.1332
S1 S 0.0672 0.2506 0.4780
S2 S 0.0792 0.7582 0.9703
Cl1 Cl 0.2500 0.1005 0.1751
Cl2 Cl 0.2500 0.5236 0.7082
```

Output
formation energy (no corrections): -0.526 eV per atom
energy above the most stable polymorph in this dataset: 0.00 eV/f.u.
crystal system: orthorhombic

A PBEsol-optimized structure of CoRe3. Source: Alexandria via LeMat-Bulk, functional meta-GGA SCAN.

```
data_CoRe3
_symmetry_space_group_name_H-M 'C m c m'
_symmetry_Int_Tables_number 63
_symmetry_space_group_name_Hall '-C 2c 2'
_cell_length_a 5.4110
_cell_length_b 9.3209
_cell_length_c 4.2940
_cell_angle_alpha 90.00
_cell_angle_beta 90.00
_cell_angle_gamma 90.00
loop_
_atom_site_label
_atom_site_type_symbol
_atom_site_fract_x
_atom_site_fract_y
_atom_site_fract_z
Co1 Co 0.0000 0.0766 0.2500
Re1 Re 0.0000 0.4113 0.7500
Re2 Re 0.2409 0.1630 0.7500
```

Output
energy of formation: 53 meV per atom
crystal system: orthorhombic

A PBEsol-optimized structure of NbAl2BCl. Source: Alexandria via LeMat-Bulk, functional meta-GGA SCAN.

```
data_NbAl2BCl
_symmetry_space_group_name_H-M 'P 4/m m m'
_symmetry_Int_Tables_number 123
_symmetry_space_group_name_Hall '-P 4 2'
_cell_length_a 4.5443
_cell_length_b 4.5443
_cell_length_c 3.9069
_cell_angle_alpha 90.00
_cell_angle_beta 90.00
_cell_angle_gamma 90.00
loop_
_atom_site_label
_atom_site_type_symbol
_atom_site_fract_x
_atom_site_fract_y
_atom_site_fract_z
Nb1 Nb 0.0000 0.0000 0.0000
Al1 Al 0.0000 0.5000 0.5000
B1 B 0.5000 0.5000 0.0000
Cl1 Cl 0.5000 0.5000 0.5000
```

Output
formation energy (no corrections): 1.264 eV per atom
crystal system: tetragonal